Entry 1:
Entry from the Alexandria database: crystalline BaMgSb at its relaxed geometry (PBE).

Summary:
Excess energy over the best structure of this formula in the dataset ... 257.0 meV per atom
Mass density ... 4.7 g/cm³
Fermi-level density of states ... 0.840 states/eV per atom

Unit cell a=6.789 b=6.789 c=6.789 alpha=143.12 beta=147.52 gamma=49.95
Element x y z (fractional)
1 Mg 0.296 0.296 0.000
2 Ba 0.005 0.005 0.000
3 Sb 0.699 0.699 0.000

---

Entry 2:
Entry from the Alexandria database: crystalline BaMgSb at its relaxed geometry (PBE).

Summary:
Excess energy over the best structure of this formula in the dataset ... 22.2 meV per atom
Mass density ... 4.7 g/cm³
Fermi-level density of states ... 0.400 states/eV per atom

Unit cell a=4.843 b=4.843 c=8.508 alpha=90.00 beta=90.00 gamma=90.00
Element x y z (fractional)
1 Sb 0.000 0.500 0.296
2 Ba 0.000 0.500 0.848
3 Ba 0.500 0.000 0.152
4 Sb 0.500 0.000 0.704
5 Mg 0.000 0.000 0.500
6 Mg 0.500 0.500 0.500

---

Entry 3:
Entry from the Alexandria database: crystalline Ba4MgSb at its relaxed geometry (PBE).

Summary:
Mass density ... 4.2 g/cm³
Fermi-level density of states ... 1.295 states/eV per atom

Unit cell a=7.290 b=7.290 c=7.290 alpha=60.00 beta=60.00 gamma=60.00
Element x y z (fractional)
1 Ba 0.374 0.374 0.879
2 Ba 0.879 0.374 0.374
3 Mg 0.750 0.750 0.750
4 Ba 0.374 0.879 0.374
5 Ba 0.374 0.374 0.374
6 Sb 0.000 0.000 0.000

---

Entry 4:
Entry from the Alexandria database: crystalline BaMg3Sb at its relaxed geometry (PBE).

Summary:
Excess energy over the best structure of this formula in the dataset ... 0.0 meV per atom
Mass density ... 3.0 g/cm³
Fermi-level density of states ... 0.949 states/eV per atom

Unit cell a=5.664 b=5.664 c=5.664 alpha=90.00 beta=90.00 gamma=90.00
Element x y z (fractional)
1 Mg 0.000 0.000 0.500
2 Sb 0.000 0.000 0.000
3 Mg 0.500 0.000 0.000
4 Mg 0.000 0.500 0.000
5 Ba 0.500 0.500 0.500

---

Entry 5:
Entry from the Alexandria database: crystalline BaMg3Sb at its relaxed geometry (PBE).

Summary:
Excess energy over the best structure of this formula in the dataset ... 1044.6 meV per atom
Mass density ... 2.3 g/cm³
Fermi-level density of states ... 1.632 states/eV per atom

Unit cell a=6.170 b=6.170 c=6.170 alpha=90.00 beta=90.00 gamma=90.00
Element x y z (fractional)
1 Mg 0.000 0.500 0.000
2 Ba 0.000 0.000 0.000
3 Mg 0.500 0.000 0.000
4 Sb 0.500 0.500 0.500
5 Mg 0.000 0.000 0.500

---

Entry 6:
Entry from the Alexandria database: crystalline BaMg14Sb at its relaxed geometry (PBE).

Summary:
Excess energy over the best structure of this formula in the dataset ... 0.0 meV per atom
Mass density ... 2.5 g/cm³
Fermi-level density of states ... 0.515 states/eV per atom

Unit cell a=6.731 b=6.731 c=10.608 alpha=90.00 beta=90.00 gamma=122.32
Element x y z (fractional)
1 Mg 0.171 0.829 0.263
2 Sb 0.352 0.648 0.500
3 Mg 0.327 0.159 0.000
4 Mg 0.830 0.170 0.000
5 Mg 0.173 0.329 0.765
6 Mg 0.671 0.827 0.235
7 Mg 0.820 0.671 0.500
8 Mg 0.329 0.180 0.500
9 Mg 0.671 0.827 0.765
10 Mg 0.328 0.672 0.000
11 Mg 0.661 0.339 0.763
12 Mg 0.661 0.339 0.237
13 Mg 0.171 0.829 0.737
14 Ba 0.824 0.176 0.500
15 Mg 0.841 0.673 0.000
16 Mg 0.173 0.329 0.235

---

Looking at formation energy (no corrections) for the records above, in order, we have -426, -661, 207, 85, 1129, -5 meV per atom.